[1]
The following is a PBE calculation of a geometry-optimized K2Tl2Sb structure, from Alexandria.

Output
Raw formation energy ... 0.4 eV/f.u.
SG ... P4/mbm

Lattice parameters (Å, degrees): 8.438 8.438 5.470 90.00 90.00 90.00
Fractional coordinates of all 10 atoms:
K1 0.868 0.632 0.000
Sb1 0.500 0.500 0.000
K2 0.368 0.868 0.000
Tl1 0.310 0.190 0.500
Tl2 0.690 0.810 0.500
Sb2 0.000 0.000 0.000
Tl3 0.190 0.690 0.500
K3 0.632 0.132 0.000
K4 0.132 0.368 0.000
Tl4 0.810 0.310 0.500



[2]
The following is a PBE calculation of a geometry-optimized TmTl2Se2 structure, from Alexandria.

Output
Raw formation energy ... -5.0 eV/f.u.
SG ... C2/m

Lattice parameters (Å, degrees): 4.024 4.023 11.165 82.88 79.62 59.99
Fractional coordinates of all 5 atoms:
Se1 0.268 0.817 0.647
Tm1 0.000 0.500 0.500
Se2 0.732 0.183 0.353
Tl1 0.539 0.787 0.135
Tl2 0.461 0.213 0.865



[3]
The following is a PBE calculation of a geometry-optimized PaCoP2 structure, from Alexandria.

Output
SG ... I-4m2
E ... -31.56 eV/f.u.

Lattice parameters (Å, degrees): 3.857 3.858 5.186 111.83 111.83 90.00
Fractional coordinates of all 4 atoms:
Pa1 0.221 0.881 0.228
P1 0.591 0.251 0.967
Co1 0.471 0.631 0.728
P2 0.852 0.511 0.489



[4]
The following is a PBE calculation of a geometry-optimized EuTmInBi structure, from Alexandria.

Output
SG ... F-43m
E ... -23.22 eV/f.u.

Lattice parameters (Å, degrees): 5.506 5.506 5.506 60.00 60.00 60.00
Fractional coordinates of all 4 atoms:
Eu1 0.250 0.250 0.250
Tm1 0.750 0.750 0.750
In1 0.500 0.500 0.500
Bi1 0.000 0.000 0.000



Please write out number 3 again, unchanged.
The following is a PBE calculation of a geometry-optimized PaCoP2 structure, from Alexandria.

Output
SG ... I-4m2
E ... -31.56 eV/f.u.

Lattice parameters (Å, degrees): 3.857 3.858 5.186 111.83 111.83 90.00
Fractional coordinates of all 4 atoms:
Pa1 0.221 0.881 0.228
P1 0.591 0.251 0.967
Co1 0.471 0.631 0.728
P2 0.852 0.511 0.489